# PBE PaP2Rh, relaxed
# * DFT total energy: -7.949 eV per atom
# * calculated volume: 73 Å³/f.u.
# * magnetic moment: 0.00 μB per cell
data_PaP2Rh
_cell_length_a 3.901
_cell_length_b 3.901
_cell_length_c 9.574
_cell_angle_alpha 90.00
_cell_angle_beta 90.00
_cell_angle_gamma 90.00
_space_group_name_H-M_alt 'I -4 m 2'
_space_group_IT_number 119
_space_group_name_Hall 'I -4 -2'
loop_
_atom_site_label
_atom_site_type_symbol
_atom_site_fract_x
_atom_site_fract_y
_atom_site_fract_z
Pa1 Pa 0.000 0.000 0.000
P1 P 0.000 0.000 0.383
Rh1 Rh 0.000 0.500 0.750